1.
First-principles (meta-GGA SCAN) data for BeCoRu2 at its PBEsol-relaxed geometry, as listed in Alexandria via LeMat-Bulk.

a = 2.605 Å, b = 3.783 Å, c = 4.726 Å
α = 90.00°, β = 106.00°, γ = 90.00°
Sites, in units of the cell vectors:
Ru1 0.942 0.000 0.884
Ru2 0.294 0.500 0.587
Co1 0.562 0.500 0.124
Be1 0.682 0.000 0.365

Summary:
- Space-group type: Amm2 (38)
- DFT formation energy: 24 meV/atom



2.
First-principles (meta-GGA SCAN) data for BSeS2Cl at its PBEsol-relaxed geometry, as listed in Alexandria via LeMat-Bulk.

a = 4.714 Å, b = 4.714 Å, c = 4.898 Å
α = 90.00°, β = 90.00°, γ = 90.00°
Sites, in units of the cell vectors:
S1 0.000 0.500 0.000
S2 0.500 0.000 0.000
B1 0.500 0.500 0.500
Se1 0.000 0.000 0.000
Cl1 0.000 0.000 0.500

Summary:
- Space-group type: P4/mmm (123)
- Energy relative to the elements, uncorrected: 1.29 eV per atom



3.
First-principles (meta-GGA SCAN) data for GdZr3F15 at its PBEsol-relaxed geometry, as listed in Alexandria via LeMat-Bulk.

a = 8.116 Å, b = 8.118 Å, c = 8.118 Å
α = 99.81°, β = 100.32°, γ = 100.32°
Last column: magnetic moment on the atom in μB.
Sites, in units of the cell vectors:
Gd1 0.250 0.323 0.677  6.96
Gd2 0.750 0.677 0.323  6.96
Zr1 0.250 0.746 0.254  0.00
Zr2 0.750 0.254 0.746  0.00
Zr3 0.674 0.757 0.822  0.00
Zr4 0.826 0.178 0.243  0.00
Zr5 0.326 0.243 0.178  0.00
Zr6 0.174 0.822 0.757  0.00
F1 0.055 0.181 0.149  0.00
F2 0.147 0.566 0.691  -0.01
F3 0.682 0.657 0.035  -0.01
F4 0.182 0.035 0.657  -0.01
F5 0.647 0.691 0.566  -0.01
F6 0.555 0.149 0.181  0.00
F7 0.945 0.819 0.851  0.00
F8 0.853 0.434 0.309  -0.01
F9 0.318 0.343 0.965  -0.01
F10 0.818 0.965 0.343  -0.01
F11 0.353 0.309 0.434  -0.01
F12 0.445 0.851 0.819  0.00
F13 0.998 0.728 0.218  0.00
F14 0.222 0.491 0.226  0.00
F15 0.220 0.724 0.996  0.00
F16 0.720 0.996 0.724  0.00
F17 0.722 0.226 0.491  0.00
F18 0.498 0.218 0.728  0.00
F19 0.002 0.272 0.782  0.00
F20 0.778 0.509 0.774  0.00
F21 0.780 0.276 0.004  0.00
F22 0.280 0.004 0.276  0.00
F23 0.278 0.774 0.509  0.00
F24 0.502 0.782 0.272  0.00
F25 0.250 0.032 0.968  -0.01
F26 0.972 0.752 0.550  -0.03
F27 0.528 0.450 0.248  -0.03
F28 0.028 0.248 0.450  -0.03
F29 0.472 0.550 0.752  -0.03
F30 0.750 0.968 0.032  -0.01

Summary:
- Space-group type: C2/c (15)
- Energy relative to the elements, uncorrected: -4.07 eV per atom



4.
First-principles (meta-GGA SCAN) data for Ni2As2O7 at its PBEsol-relaxed geometry, as listed in Alexandria via LeMat-Bulk.

a = 4.837 Å, b = 5.274 Å, c = 5.274 Å
α = 108.97°, β = 95.70°, γ = 95.70°
Last column: magnetic moment on the atom in μB.
Sites, in units of the cell vectors:
Ni1 0.500 0.688 0.312  1.69
Ni2 0.500 0.312 0.688  1.69
As1 0.888 0.253 0.253  0.01
As2 0.112 0.747 0.747  0.01
O1 0.000 0.000 0.000  0.01
O2 0.773 0.581 0.581  0.08
O3 0.227 0.419 0.419  0.08
O4 0.709 0.412 0.064  0.07
O5 0.291 0.936 0.588  0.07
O6 0.291 0.588 0.936  0.07
O7 0.709 0.064 0.412  0.07

Summary:
- Space-group type: C2/m (12)
- Energy relative to the elements, uncorrected: -1.32 eV per atom



5.
First-principles (meta-GGA SCAN) data for Na2SO3 at its PBEsol-relaxed geometry, as listed in Alexandria via LeMat-Bulk.

a = 5.460 Å, b = 5.460 Å, c = 6.090 Å
α = 90.00°, β = 90.00°, γ = 120.00°
Sites, in units of the cell vectors:
Na1 0.667 0.333 0.338
Na2 0.000 0.000 0.500
Na3 0.333 0.667 0.662
Na4 0.000 0.000 0.000
S1 0.667 0.333 0.837
S2 0.333 0.667 0.163
O1 0.262 0.381 0.266
O2 0.619 0.881 0.266
O3 0.119 0.738 0.266
O4 0.738 0.619 0.734
O5 0.881 0.262 0.734
O6 0.381 0.119 0.734

Summary:
- Space-group type: P-3 (147)
- Energy relative to the elements, uncorrected: -1.88 eV per atom



6.
First-principles (meta-GGA SCAN) data for Zr2TlIn at its PBEsol-relaxed geometry, as listed in Alexandria via LeMat-Bulk.

a = 4.340 Å, b = 4.444 Å, c = 4.444 Å
α = 90.00°, β = 90.00°, γ = 90.00°
Sites, in units of the cell vectors:
Tl1 0.500 0.000 0.000
Zr1 0.000 0.000 0.500
Zr2 0.000 0.500 0.000
In1 0.500 0.500 0.500

Summary:
- Space-group type: P4/mmm (123)
- Polymorph energy (0 for the lowest one): 0.002 eV per atom
- DFT formation energy: -366 meV/atom



7.
First-principles (meta-GGA SCAN) data for La2SnGeMo at its PBEsol-relaxed geometry, as listed in Alexandria via LeMat-Bulk.

a = 5.159 Å, b = 5.291 Å, c = 5.291 Å
α = 90.00°, β = 90.00°, γ = 90.00°
Sites, in units of the cell vectors:
Mo1 0.000 0.000 0.000
Ge1 0.500 0.500 0.500
Sn1 0.500 0.000 0.000
La1 0.000 0.000 0.500
La2 0.000 0.500 0.000

Summary:
- Space-group type: P4/mmm (123)
- DFT formation energy: 90 meV/atom



8.
First-principles (meta-GGA SCAN) data for NbTc2Mo at its PBEsol-relaxed geometry, as listed in Alexandria via LeMat-Bulk.

a = 4.414 Å, b = 4.414 Å, c = 4.414 Å
α = 60.00°, β = 60.00°, γ = 60.00°
Sites, in units of the cell vectors:
Mo1 0.500 0.500 0.500
Tc1 0.250 0.250 0.250
Tc2 0.750 0.750 0.750
Nb1 0.000 0.000 0.000

Summary:
- Space-group type: Fm-3m (225)
- DFT formation energy: -160 meV/atom



9.
First-principles (meta-GGA SCAN) data for AgPdCl2 at its PBEsol-relaxed geometry, as listed in Alexandria via LeMat-Bulk.

a = 4.594 Å, b = 4.594 Å, c = 4.594 Å
α = 60.00°, β = 60.00°, γ = 60.00°
Last column: magnetic moment on the atom in μB.
Sites, in units of the cell vectors:
Pd1 0.000 0.000 0.000  0.71
Ag1 0.500 0.500 0.500  0.04
Cl1 0.250 0.250 0.250  0.13
Cl2 0.750 0.750 0.750  0.13

Summary:
- Space-group type: Fm-3m (225)
- Energy relative to the elements, uncorrected: -0.07 eV per atom



10.
First-principles (meta-GGA SCAN) data for CuTe2BrN at its PBEsol-relaxed geometry, as listed in Alexandria via LeMat-Bulk.

a = 3.476 Å, b = 5.486 Å, c = 5.486 Å
α = 90.00°, β = 90.00°, γ = 90.00°
Last column: magnetic moment on the atom in μB.
Sites, in units of the cell vectors:
Te1 0.000 0.000 0.500  0.06
Te2 0.000 0.500 0.000  0.06
Cu1 0.000 0.000 0.000  0.20
Br1 0.500 0.500 0.500  0.01
N1 0.500 0.000 0.000  0.87

Summary:
- Space-group type: P4/mmm (123)
- Energy relative to the elements, uncorrected: 0.79 eV per atom



11.
First-principles (meta-GGA SCAN) data for CaReOs at its PBEsol-relaxed geometry, as listed in Alexandria via LeMat-Bulk.

a = 2.809 Å, b = 3.817 Å, c = 5.882 Å
α = 108.93°, β = 103.81°, γ = 90.00°
Sites, in units of the cell vectors:
Re1 0.292 0.292 0.584
Ca1 0.001 0.001 0.002
Os1 0.707 0.707 0.413

Summary:
- Space-group type: Imm2 (44)
- DFT formation energy: 364 meV/atom



12.
First-principles (meta-GGA SCAN) data for TcAgPt at its PBEsol-relaxed geometry, as listed in Alexandria via LeMat-Bulk.

a = 2.739 Å, b = 2.739 Å, c = 6.933 Å
α = 90.00°, β = 90.00°, γ = 120.00°
Sites, in units of the cell vectors:
Ag1 0.000 0.000 0.002
Pt1 0.667 0.333 0.653
Tc1 0.333 0.667 0.344

Summary:
- Space-group type: P3m1 (156)
- DFT formation energy: 140 meV/atom



Magnetization, record by record: 0.0; 0.0; 13.8; 4.0; 0.0; 0.0; 0.0; 0.0; 1.0; 1.5; 0.0; 0.0 μB per cell